(1)
KCa2Ag: relaxed, PBE.

Output
Electronic total energy ... -1.8804 eV/atom
Calculated formation energy ... 0.11 eV per atom

a = 7.700 Å, b = 7.700 Å, c = 7.700 Å
α = 102.86°, β = 102.86°, γ = 123.70°
Fractional positions:
K: 0.000 0.000 0.000
K: 0.750 0.250 0.500
Ca: 0.212 0.625 0.087
Ca: 0.375 0.462 0.587
Ca: 0.538 0.125 0.913
Ca: 0.875 0.788 0.413
Ag: 0.250 0.750 0.500
Ag: 0.500 0.500 0.000

(2)
Sc2ZnP: relaxed, PBE.

Output
Electronic total energy ... -5.4856 eV/atom
Calculated formation energy ... -0.65 eV per atom

a = 4.464 Å, b = 4.464 Å, c = 3.549 Å
α = 90.00°, β = 90.00°, γ = 90.00°
Fractional positions:
Sc: 0.000 0.500 0.000
Sc: 0.500 0.000 0.000
Zn: 0.000 0.000 0.500
P: 0.500 0.500 0.500

(3)
BePSe: relaxed, PBE.

Output
Electronic total energy ... -3.7866 eV/atom
Raw formation energy ... 0.420 eV per atom

a = 4.130 Å, b = 4.130 Å, c = 4.130 Å
α = 60.00°, β = 60.00°, γ = 60.00°
Fractional positions:
Be: 0.000 0.000 0.000
P: 0.250 0.250 0.250
Se: 0.750 0.750 0.750

| no. | total magnetic moment (μB per formula unit) |
| --- | --- |
| 1 | 0.00 |
| 2 | 0.00 |
| 3 | 0.00 |